[1]
Entry from Alexandria via LeMat-Bulk: TlCo4F8 after structural relaxation (PBE with a Hubbard U).

Unit cell a=14.7972 b=3.2152 c=10.2946 alpha=90.00 beta=132.31 gamma=90.00
With the nearest neighbours (Å) after each atom.
Space group C2/m (No. 12)
One atom of each set of equivalent atoms:
Tl (0.0000, 0.0000, 0.0000)  10 F 3.18-3.22, 2 Tl 3.22
Co (0.1474, 0.0000, 0.4809)  6 F 2.06-2.13
Co (0.1589, 0.5000, 0.8173)  6 F 2.04-2.13
F (0.0389, 0.0000, 0.7276)  3 Co 2.06-2.09
F (0.1451, 0.5000, 0.6062)  3 Co 2.04-2.08
F (0.1627, 0.5000, 0.3603)  3 Co 2.09-2.13
F (0.2134, 0.5000, 0.0659)  3 Co 2.10-2.13

Summary:
Crystal system: monoclinic

***

[2]
Entry from Alexandria via LeMat-Bulk: TmTlCoF6 after structural relaxation (PBE with a Hubbard U).

Unit cell a=7.2696 b=7.5397 c=10.3601 alpha=90.00 beta=90.00 gamma=90.00
With the nearest neighbours (Å) after each atom.
Space group Imma (No. 74)
One atom of each set of equivalent atoms:
Tm (0.0000, 0.0000, 0.0000)  6 F 2.18-2.27
Tl (0.0000, 0.2500, 0.4039)  9 F 2.87-3.20
Co (0.2500, 0.2500, 0.7500)  6 F 2.05-2.07
F (0.0000, 0.2500, 0.1050)  2 Tm 2.18
F (0.0000, 0.2500, 0.8461)  2 Co 2.07
F (0.2414, 0.0493, 0.6168)  1 Co 2.05, 1 Tm 2.27

Summary:
Crystal system: orthorhombic

***

| no. | calculated total energy (eV/atom) |
| --- | --- |
| 1 | -4.803 |
| 2 | -5.484 |